No. 1
Material: SmGe3Pt
Method: DFT, PBE-GGA
State: optimized geometry

Lattice parameters (Å, degrees): 4.257 4.304 11.465 100.82 90.00 90.00
Sites, in units of the cell vectors:
Sm 0.500 0.831 0.661
Ge 0.000 0.278 0.557
Ge 0.000 0.945 0.889
Ge 0.500 0.445 0.889
Sm 0.500 0.169 0.339
Pt 0.000 0.614 0.227
Ge 0.000 0.055 0.111
Ge 0.500 0.555 0.111
Ge 0.000 0.722 0.443
Pt 0.000 0.386 0.773

Calculated values
Energy of formation: -0.66 eV per atom
Size of the total moment: 0.0 μB per cell
Final energy: -5.58 eV/atom
DOS at the Fermi energy: 2.07 states/eV/f.u.

***

No. 2
Material: Sm2Ge2Pt3
Method: DFT, PBE-GGA
State: optimized geometry

Lattice parameters (Å, degrees): 4.027 5.631 7.110 112.49 90.00 110.95
Sites, in units of the cell vectors:
Ge 0.845 0.689 0.779
Sm 0.869 0.739 0.235
Pt 0.500 0.000 0.000
Ge 0.155 0.311 0.221
Pt 0.618 0.237 0.435
Pt 0.382 0.763 0.565
Sm 0.131 0.261 0.765

Calculated values
Energy of formation: -0.98 eV per atom
Size of the total moment: 0.0 μB per cell
Final energy: -6.24 eV/atom
DOS at the Fermi energy: 3.08 states/eV/f.u.

***

No. 3
Material: SmGe2Pt
Method: DFT, PBE-GGA
State: optimized geometry

Lattice parameters (Å, degrees): 3.458 3.458 9.464 79.47 79.47 60.00
Sites, in units of the cell vectors:
Ge 0.892 0.892 0.323
Pt 0.500 0.500 0.500
Ge 0.108 0.108 0.677
Sm 0.000 0.000 0.000

Calculated values
Energy of formation: -0.06 eV per atom
Size of the total moment: 0.0 μB per cell
Final energy: -5.06 eV/atom
DOS at the Fermi energy: 2.88 states/eV/f.u.

***

No. 4
Material: SmGe2Pt7
Method: DFT, PBE-GGA
State: optimized geometry

Lattice parameters (Å, degrees): 4.115 4.115 10.743 101.04 101.04 90.00
Sites, in units of the cell vectors:
Sm 0.000 0.000 0.000
Pt 0.395 0.895 0.790
Pt 0.500 0.500 0.000
Pt 0.750 0.250 0.500
Pt 0.105 0.605 0.210
Pt 0.895 0.395 0.790
Pt 0.250 0.750 0.500
Pt 0.605 0.105 0.210
Ge 0.676 0.676 0.352
Ge 0.324 0.324 0.648

Calculated values
Energy of formation: -0.64 eV per atom
Size of the total moment: 0.0 μB per cell
Final energy: -6.26 eV/atom
DOS at the Fermi energy: 3.30 states/eV/f.u.

***

- energy of formation of number 1 (SmGe3Pt)?
  -0.66 eV per atom

***

- Look up the energy of formation of the first one.
  -0.66 eV per atom

***

- Which formula does entry 3 have?
  SmGe2Pt